[1]
DFT (PBE) results for CsCr3Re after structural relaxation.

Formation energy from the elements: 1.413 eV per atom
E: -0.2580 Ha/atom

Cell: 4.981 4.981 4.981 Å, 90.00 90.00 90.00°
Positions (direct):
Cs: 0.000 0.000 0.000
Cr: 0.000 0.500 0.500
Cr: 0.500 0.000 0.500
Cr: 0.500 0.500 0.000
Re: 0.500 0.500 0.500



[2]
DFT (PBE) results for ScGa8Co4 after structural relaxation.

Formation energy from the elements: -0.337 eV per atom
E: -0.1791 Ha/atom

Cell: 6.489 6.489 6.489 Å, 99.12 99.12 133.07°
Positions (direct):
Sc: 0.000 0.000 0.000
Ga: 0.000 0.333 0.333
Ga: 0.000 0.667 0.667
Ga: 0.277 0.500 0.777
Ga: 0.333 0.000 0.333
Ga: 0.500 0.277 0.777
Ga: 0.500 0.723 0.223
Ga: 0.667 0.000 0.667
Ga: 0.723 0.500 0.223
Co: 0.000 0.000 0.500
Co: 0.000 0.500 0.000
Co: 0.500 0.000 0.000
Co: 0.500 0.500 0.500